# 1
The following is a PBE-GGA calculation of ScAl2Ru after structural relaxation, from the Alexandria database.

Cell and atoms, written as extended XYZ:
```
4
Lattice="-0.3666 4.5371 -7.6367 -3.2404 3.6040 -7.4532 -2.3687 6.1143 -6.0036" Properties=species:S:1:pos:R:3 pbc="T T T"
Al -1.4475 3.4530 -5.1093
Sc -4.5363 10.8216 -16.0127
Al -5.9495 14.1927 -21.0008
Ru -3.0061 7.1712 -10.6112
```

Output
- uncorrected energy (eV per atom) = -5.95
- formation enthalpy at 0 K (eV per atom) = -0.18
- V (Å³/cell) = 69.2


# 2
The following is a PBE-GGA calculation of HfScGa3 after structural relaxation, from the Alexandria database.

Cell and atoms, written as extended XYZ:
```
5
Lattice="-2.4965 3.9755 -1.3625 -2.7629 -2.7468 -2.9522 -3.1667 -0.7376 3.6499" Properties=species:S:1:pos:R:3 pbc="T T T"
Sc 0.0000 0.0000 0.0000
Ga -1.3815 -1.3734 -1.4761
Ga -1.2483 1.9878 -0.6813
Ga -1.5833 -0.3688 1.8250
Hf -4.2130 0.2455 -0.3324
```

Output
- uncorrected energy (eV per atom) = -4.39
- formation enthalpy at 0 K (eV per atom) = 0.69
- polymorph energy (0 for the lowest one) (meV/atom) = 1200.1
- V (Å³/cell) = 116.8


# 3
The following is a PBE-GGA calculation of KMn after structural relaxation, from the Alexandria database.

Cell and atoms, written as extended XYZ:
```
6
Lattice="2.0340 6.9492 -1.2767 -2.0340 6.9492 -1.2767 0.0000 1.5972 7.4761" Properties=species:S:1:pos:R:3 pbc="T T T"
Mn 0.0000 9.7369 -0.2518
K 0.0000 6.1600 1.6019
K 0.0000 5.1608 5.4536
Mn 0.0000 9.6815 2.3470
K 0.0000 1.8381 6.6579
Mn 0.0000 2.5938 2.3333
```

Output
- uncorrected energy (eV per atom) = -4.39
- formation enthalpy at 0 K (eV per atom) = 0.75
- polymorph energy (0 for the lowest one) (meV/atom) = 0.0
- V (Å³/cell) = 219.6


# 4
The following is a PBE-GGA calculation of AsOsPt after structural relaxation, from the Alexandria database.

Cell and atoms, written as extended XYZ:
```
3
Lattice="-1.4405 3.0239 2.3911 -3.9706 1.0641 -0.1963 -2.5226 -0.8771 3.1311" Properties=species:S:1:pos:R:3 pbc="T T T"
Os 0.0000 0.0000 0.0000
Pt -3.9669 1.6054 2.6630
As -1.9834 0.8027 1.3315
```

Output
- uncorrected energy (eV per atom) = -7.12
- formation enthalpy at 0 K (eV per atom) = 0.19
- polymorph energy (0 for the lowest one) (meV/atom) = 0.0
- V (Å³/cell) = 49.3


# 5
The following is a PBE-GGA calculation of Ga3HgRh after structural relaxation, from the Alexandria database.

Cell and atoms, written as extended XYZ:
```
5
Lattice="4.8405 0.0000 0.0000 0.0000 4.8405 0.0000 0.0000 0.0000 4.8405" Properties=species:S:1:pos:R:3 pbc="T T T"
Ga 2.4202 0.0000 0.0000
Hg 2.4202 2.4202 2.4202
Ga 0.0000 0.0000 2.4202
Rh 0.0000 0.0000 0.0000
Ga 0.0000 2.4202 0.0000
```

Output
- uncorrected energy (eV per atom) = -3.58
- formation enthalpy at 0 K (eV per atom) = -0.24
- polymorph energy (0 for the lowest one) (meV/atom) = 0.0
- V (Å³/cell) = 113.4


# 6
The following is a PBE-GGA calculation of Sm2YSi3Pt4 after structural relaxation, from the Alexandria database.

Cell and atoms, written as extended XYZ:
```
10
Lattice="-3.8896 1.6452 -0.4256 -1.4383 -3.7533 -1.3640 -2.3276 -2.8436 10.2790" Properties=species:S:1:pos:R:3 pbc="T T T"
Pt -3.4887 -1.0636 6.6055
Si -1.1638 -1.4218 5.1395
Pt -1.5028 -2.8340 2.7787
Y -3.8277 -2.4758 4.2447
Si -0.9954 -2.2141 0.5380
Sm -2.5242 -4.0819 7.2894
Pt 0.0000 0.0000 0.0000
Sm -2.4673 0.1842 2.0948
Si -3.9961 -1.6835 8.8462
Pt -2.6639 -1.0540 -0.8948
```

Output
- uncorrected energy (eV per atom) = -6.69
- V (Å³/cell) = 196.7


# 7
The following is a PBE-GGA calculation of InTc2Sb after structural relaxation, from the Alexandria database.

Cell and atoms, written as extended XYZ:
```
4
Lattice="-0.2906 -2.0767 4.1050 2.1121 1.8324 3.6647 -2.4879 1.9098 3.3781" Properties=species:S:1:pos:R:3 pbc="T T T"
Tc -0.4998 1.2491 8.3609
Sb -0.3332 0.8327 5.5739
Tc -0.1666 0.4164 2.7870
In 0.0000 0.0000 0.0000
```

Output
- uncorrected energy (eV per atom) = -6.63
- polymorph energy (0 for the lowest one) (meV/atom) = 170.4
- V (Å³/cell) = 69.3


# 8
The following is a PBE-GGA calculation of KRb2BaTl after structural relaxation, from the Alexandria database.

Cell and atoms, written as extended XYZ:
```
5
Lattice="-1.4640 -1.6352 6.9461 6.4294 -3.3786 0.5598 2.9098 5.8679 1.9947" Properties=species:S:1:pos:R:3 pbc="T T T"
K 3.9376 0.4271 4.7503
Ba 1.4549 2.9340 0.9974
Rb -0.7320 -0.8176 3.4730
Rb 3.2147 -1.6893 0.2799
Tl 0.0000 0.0000 0.0000
```

Output
- uncorrected energy (eV per atom) = -1.42
- formation enthalpy at 0 K (eV per atom) = 0.05
- V (Å³/cell) = 363.3


# 9
The following is a PBE-GGA calculation of AcPuPPd after structural relaxation, from the Alexandria database.

Cell and atoms, written as extended XYZ:
```
4
Lattice="-0.3856 0.8274 -5.0887 -4.0108 -1.9231 -2.6350 -3.6476 3.1715 -1.8341" Properties=species:S:1:pos:R:3 pbc="T T T"
P -4.0220 1.0379 -4.7789
Ac -6.0330 1.5569 -7.1684
Pd 0.0000 0.0000 0.0000
Pu -2.0110 0.5190 -2.3895
```

Output
- uncorrected energy (eV per atom) = -7.93
- formation enthalpy at 0 K (eV per atom) = -0.67
- V (Å³/cell) = 97.7


# 10
The following is a PBE-GGA calculation of TbPrNdY2 after structural relaxation, from the Alexandria database.

Cell and atoms, written as extended XYZ:
```
10
Lattice="6.5589 0.0000 0.0000 0.0000 9.7736 -0.4174 0.0000 -2.7370 5.6015" Properties=species:S:1:pos:R:3 pbc="T T T"
Y 2.1138 5.6651 1.8692
Nd 5.4701 4.2025 1.1917
Y 4.4451 4.2966 4.6700
Tb 2.9235 -0.6842 1.4004
Y 4.4451 1.3715 3.3149
Tb 3.6354 -2.0527 4.2012
Pr 0.0000 -1.3685 2.8008
Nd 1.0888 2.8341 3.9924
Y 2.1138 2.7400 0.5141
Pr 0.0000 0.0000 0.0000
```

Output
- uncorrected energy (eV per atom) = -5.14
- formation enthalpy at 0 K (eV per atom) = 0.28
- V (Å³/cell) = 351.6


# 11
The following is a PBE-GGA calculation of KBaMo4 after structural relaxation, from the Alexandria database.

Cell and atoms, written as extended XYZ:
```
6
Lattice="0.0000 4.0267 4.0267 4.0267 0.0000 4.0267 4.0267 4.0267 0.0000" Properties=species:S:1:pos:R:3 pbc="T T T"
Ba 6.0400 6.0400 6.0400
Mo 3.0083 5.0450 5.0450
Mo 5.0450 3.0083 5.0450
Mo 5.0450 5.0450 3.0083
Mo 3.0083 3.0083 3.0083
K 0.0000 0.0000 0.0000
```

Output
- uncorrected energy (eV per atom) = -6.47
- formation enthalpy at 0 K (eV per atom) = 1.25
- V (Å³/cell) = 130.6


# 12
The following is a PBE-GGA calculation of OsRuW after structural relaxation, from the Alexandria database.

Cell and atoms, written as extended XYZ:
```
3
Lattice="-3.2343 -5.0088 1.6830 -1.1855 -4.9599 3.5178 -1.7238 0.9957 1.8984" Properties=species:S:1:pos:R:3 pbc="T T T"
Ru -2.6359 -2.7140 3.0158
W -3.5209 -6.3131 4.0998
Os -4.4065 -9.9147 5.1846
```

Output
- uncorrected energy (eV per atom) = -11.06
- formation enthalpy at 0 K (eV per atom) = 0.09
- polymorph energy (0 for the lowest one) (meV/atom) = 47.7
- V (Å³/cell) = 44.5


Q: uncorrected energy of number 9 (AcPuPPd)?
A: -7.93 eV per atom


Q: Among the records above, which one has the highest V?
A: KRb2BaTl


Q: Which value of uncorrected energy does entry 2 give?
A: -4.39 eV per atom


Q: uncorrected energy of number 10 (TbPrNdY2)?
A: -5.14 eV per atom